Ba3Ga5O12: optimized geometry, PBE.

formation energy from raw total energies: -176 kJ per mole of atoms
E: -934.25 eV for the cell shown
crystal system: cubic

Unit cell a=13.1975 b=13.1975 c=13.1975 alpha=90.00 beta=90.00 gamma=90.00
Space group Ia-3d (No. 230)
Inequivalent atoms, fractional coordinates:
1 Ba 0.0000 0.2500 0.1250 (multiplicity 24)
2 Ga 0.0000 0.0000 0.0000 (multiplicity 16)
3 Ga 0.0000 0.2500 0.3750 (multiplicity 24)
4 O 0.0368 0.0416 0.6447 (multiplicity 96)


SmEr3Pd2: optimized geometry, PBE.

E: -64.74 eV for the cell shown
crystal system: orthorhombic
formation enthalpy at 0 K: -0.596 eV per atom

Unit cell a=3.7778 b=9.6413 c=8.5299 alpha=90.00 beta=90.00 gamma=90.00
Space group Pmc2_1 (No. 26)
Inequivalent atoms, fractional coordinates:
1 Sm 0.0000 0.0704 0.0000 (multiplicity 2)
2 Er 0.0000 0.2906 0.6545 (multiplicity 2)
3 Er 0.5000 0.2157 0.3207 (multiplicity 2)
4 Er 0.5000 0.4334 0.9778 (multiplicity 2)
5 Pd 0.0000 0.4239 0.2518 (multiplicity 2)
6 Pd 0.5000 0.0820 0.7229 (multiplicity 2)


Ca4ReTe: optimized geometry, PBE.

formation energy from raw total energies: 76 kJ per mole of atoms
E: -75.59 eV for the cell shown
crystal system: cubic

Unit cell a=8.7612 b=8.7612 c=8.7612 alpha=90.00 beta=90.00 gamma=90.00
Space group F-43m (No. 216)
Inequivalent atoms, fractional coordinates:
1 Ca 0.1238 0.1238 0.1238 (multiplicity 16)
2 Re 0.2500 0.2500 0.7500 (multiplicity 4)
3 Te 0.0000 0.0000 0.5000 (multiplicity 4)


The lowest E belongs to which entry? Ba3Ga5O12